# 1
# HfV2CdO8

A relaxed HfV2CdO8 crystal (GGA+U, Alexandria via LeMat-Bulk).

For the total energy, the calculation gives -182.1 eV per cell.

The structure belongs to space group I-4m2 (No. 119); the cell edges are 7.022, 7.022 and 6.227 Å and the angles 90.00°, 90.00° and 90.00°. The asymmetric unit holds Hf at (0.000, 0.000, 0.000), V at (0.000, 0.000, 0.500), V at (0.000, 0.500, 0.750), Cd at (0.000, 0.500, 0.250), O at (0.000, 0.181, 0.308) and O at (0.000, 0.297, 0.911).


# 2
# HfVCd2O6

A relaxed HfVCd2O6 crystal (GGA+U, Alexandria via LeMat-Bulk).

For the total energy, the calculation gives -69.4 eV per cell.

The structure belongs to space group P-1 (No. 2); the cell edges are 5.470, 5.524 and 5.528 Å and the angles 62.11°, 60.36° and 60.35°. The asymmetric unit holds Hf at (0.000, 0.000, 0.000), V at (0.500, 0.500, 0.500), Cd at (0.225, 0.251, 0.252), O at (0.193, 0.319, 0.804), O at (0.196, 0.807, 0.315) and O at (0.378, 0.738, 0.739).